(1)
Density functional theory data (PBE-GGA) for CuSbPt2 after structural relaxation.

Space group   F-43m, No. 216
Electronic total energy   -5.151 eV per atom
Size of the total moment   0.000 μB per cell
Formation energy without anion corrections   -0.0755 eV per atom
N(E_F)   0.5226 states/eV per atom

Lattice parameters (Å, degrees): 6.438 6.438 6.438 90.00 90.00 90.00
Atoms (fractional coordinates):
Cu1 0.000 0.000 0.000
Cu2 0.000 0.500 0.500
Cu3 0.500 0.000 0.500
Cu4 0.500 0.500 0.000
Sb1 0.250 0.250 0.250
Sb2 0.250 0.750 0.750
Sb3 0.750 0.250 0.750
Sb4 0.750 0.750 0.250
Pt1 0.000 0.000 0.500
Pt2 0.000 0.500 0.000
Pt3 0.250 0.250 0.750
Pt4 0.250 0.750 0.250
Pt5 0.500 0.000 0.000
Pt6 0.500 0.500 0.500
Pt7 0.750 0.250 0.250
Pt8 0.750 0.750 0.750

=====

(2)
Density functional theory data (PBE-GGA) for CuSbPt2 after structural relaxation.

Space group   I4/mmm, No. 139
Electronic total energy   -5.264 eV per atom
Size of the total moment   0.000 μB per cell
Formation energy without anion corrections   -0.1886 eV per atom
N(E_F)   0.4024 states/eV per atom

Lattice parameters (Å, degrees): 4.048 4.048 8.014 90.00 90.00 90.00
Atoms (fractional coordinates):
Cu1 0.000 0.000 0.000
Cu2 0.500 0.500 0.500
Sb1 0.000 0.000 0.500
Sb2 0.500 0.500 0.000
Pt1 0.000 0.500 0.250
Pt2 0.000 0.500 0.750
Pt3 0.500 0.000 0.250
Pt4 0.500 0.000 0.750

=====

> Which formula does entry 1 have?

CuSbPt2